{
  "formula": "NaMnI2",
  "functional": "PBE",
  "state": "optimized geometry",
  "lattice": [[-3.467, 3.467, 6.260], [3.467, -3.467, 6.260], [3.467, 3.467, -6.260]],
  "species": ["Na", "Na", "Mn", "Mn", "I", "I", "I", "I"],
  "frac_coords": [[0.000, 0.000, 0.000], [0.750, 0.250, 0.500], [0.250, 0.750, 0.500], [0.500, 0.500, 0.000], [0.169, 0.625, 0.044], [0.375, 0.419, 0.544], [0.581, 0.125, 0.956], [0.875, 0.831, 0.456]],
  "formation_energy_uncorrected_mev_per_atom": -347,
  "e_above_lowest_polymorph_mev_per_atom": 0,
  "rho_g_cm3": 3.66,
  "magmom_total_mub_per_cell": 8.12,
  "n_ef_per_ev_cell": 8.7
}


{
  "formula": "Zn2RhW",
  "functional": "PBE",
  "state": "optimized geometry",
  "lattice": [[2.762, 0.000, 0.000], [0.000, 3.846, 0.000], [0.000, 0.000, 5.489]],
  "species": ["Zn", "Zn", "Rh", "W"],
  "frac_coords": [[0.000, 0.000, 0.238], [0.000, 0.000, 0.762], [0.500, 0.500, 0.000], [0.500, 0.500, 0.500]],
  "e_above_lowest_polymorph_mev_per_atom": 225,
  "rho_g_cm3": 11.89,
  "formation_enthalpy_0k_ev_per_atom": 0.122,
  "magmom_total_mub_per_cell": 0.00,
  "n_ef_per_ev_cell": 3.7
}


{
  "formula": "NaCoTc3",
  "functional": "PBE",
  "state": "optimized geometry",
  "lattice": [[4.482, 0.000, 0.000], [0.000, 4.482, 0.000], [0.000, 0.000, 4.482]],
  "species": ["Na", "Co", "Tc", "Tc", "Tc"],
  "frac_coords": [[0.000, 0.000, 0.000], [0.500, 0.500, 0.500], [0.000, 0.500, 0.500], [0.500, 0.000, 0.500], [0.500, 0.500, 0.000]],
  "e_above_lowest_polymorph_mev_per_atom": 0,
  "rho_g_cm3": 6.93,
  "formation_enthalpy_0k_ev_per_atom": 1.437,
  "magmom_total_mub_per_cell": 0.00,
  "n_ef_per_ev_cell": 4.1
}


Q: Which formula does entry 1 have?
A: NaMnI2


Q: Number 3 is which compound?
A: NaCoTc3